Cd2TcPbF | GGA-PBE | optimized geometry

Cell: 5.337 5.337 5.244 Å, 90.00 90.00 90.00°
Fractional positions:
1 Cd 0.000 0.500 0.000
2 Cd 0.500 0.000 0.000
3 Tc 0.000 0.000 0.000
4 Pb 0.000 0.000 0.500
5 F 0.500 0.500 0.500

Calculated values
Symmetry   P4/mmm, No. 123
Formation energy (no corrections)   270 meV/atom

BaRe2Si | GGA-PBE | optimized geometry

Cell: 5.683 10.514 2.738 Å, 90.00 90.00 90.00°
Fractional positions:
1 Ba 0.000 0.000 0.000
2 Ba 0.500 0.500 0.000
3 Re 0.250 0.250 0.500
4 Re 0.250 0.750 0.500
5 Re 0.750 0.250 0.500
6 Re 0.750 0.750 0.500
7 Si 0.000 0.500 0.000
8 Si 0.500 0.000 0.000

Calculated values
Symmetry   Cmmm, No. 65
Formation energy (no corrections)   1601 meV/atom

Pm6CdSi2Br3 | GGA-PBE | optimized geometry

Cell: 9.707 9.707 8.841 Å, 103.72 103.72 25.28°
Fractional positions:
1 Pm 0.010 0.010 0.255
2 Pm 0.324 0.324 0.436
3 Pm 0.334 0.334 0.885
4 Pm 0.666 0.666 0.115
5 Pm 0.676 0.676 0.564
6 Pm 0.990 0.990 0.745
7 Cd 0.500 0.500 0.000
8 Si 0.167 0.167 0.336
9 Si 0.833 0.833 0.664
10 Br 0.168 0.168 0.833
11 Br 0.500 0.500 0.500
12 Br 0.832 0.832 0.167

Calculated values
Symmetry   C2/m, No. 12
Formation energy (no corrections)   -907 meV/atom